A plane-wave DFT calculation with GGA-PBE was carried out for crystalline FeCuS2Cl at its relaxed geometry.

Values from the calculation:
The total energy comes out at -20.61 eV per cell. Its crystal system is tetragonal. The calculation puts the excess energy over the best structure of this formula in the dataset at 65 meV per atom. Its space group is P4/mmm.

Lattice parameters (Å, degrees): 4.274 4.274 5.070 90.00 90.00 90.00
Element x y z (fractional)
1 Fe 0.000 0.000 0.000
2 Cu 0.500 0.500 0.500
3 S 0.000 0.500 0.000
4 S 0.500 0.000 0.000
5 Cl 0.000 0.000 0.500

---

A plane-wave DFT calculation with GGA-PBE was carried out for crystalline PbC2Cl at its relaxed geometry.

Values from the calculation:
The total energy comes out at -13.49 eV per cell. Its crystal system is cubic. The calculation puts the excess energy over the best structure of this formula in the dataset at 305 meV per atom. Its space group is Fm-3m.

Lattice parameters (Å, degrees): 4.456 4.456 4.456 60.00 60.00 60.00
Element x y z (fractional)
1 Pb 0.000 0.000 0.000
2 C 0.250 0.250 0.250
3 C 0.750 0.750 0.750
4 Cl 0.500 0.500 0.500

---

A plane-wave DFT calculation with GGA-PBE was carried out for crystalline SrMo3S at its relaxed geometry.

Values from the calculation:
The total energy comes out at -35.34 eV per cell. Its crystal system is cubic. Its space group is Pm-3m.

Lattice parameters (Å, degrees): 4.614 4.614 4.614 90.00 90.00 90.00
Element x y z (fractional)
1 Sr 0.000 0.000 0.000
2 Mo 0.000 0.500 0.500
3 Mo 0.500 0.000 0.500
4 Mo 0.500 0.500 0.000
5 S 0.500 0.500 0.500